Compound: Tb5Ce2Dy12
Source: the Alexandria database
Functional: PBE
Structure: optimized geometry

Values from the calculation:
V (Å³ per cell): 609
SG: No. 12
Formation enthalpy at 0 K (meV/atom): 140
Relative energy among the computed polymorphs (meV/atom): 38.4

Lattice parameters (Å, degrees): 8.9937 8.9937 8.6003 92.29 92.29 61.27
Positions (direct):
Tb  0.0000  0.0000  0.0000
Tb  0.2311  0.2311  0.0648
Tb  0.2857  0.2857  0.4608
Tb  0.7143  0.7143  0.5392
Tb  0.7689  0.7689  0.9352
Ce  0.3512  0.6488  0.5000
Ce  0.6488  0.3512  0.5000
Dy  0.0341  0.6756  0.2619
Dy  0.0677  0.0677  0.3730
Dy  0.1753  0.5597  0.8136
Dy  0.3244  0.9659  0.7381
Dy  0.4403  0.8247  0.1864
Dy  0.4408  0.4408  0.1568
Dy  0.5592  0.5592  0.8432
Dy  0.5597  0.1753  0.8136
Dy  0.6756  0.0341  0.2619
Dy  0.8247  0.4403  0.1864
Dy  0.9323  0.9323  0.6270
Dy  0.9659  0.3244  0.7381

***

Compound: Li2PuHgAs2
Source: the Alexandria database
Functional: PBE
Structure: optimized geometry

Values from the calculation:
V (Å³ per cell): 118
SG: No. 164
Formation enthalpy at 0 K (meV/atom): -614

Lattice parameters (Å, degrees): 4.4682 4.4682 6.8029 90.00 90.00 120.00
Positions (direct):
Li  0.3333  0.6667  0.1630
Li  0.6667  0.3333  0.8370
Pu  0.0000  0.0000  0.5000
Hg  0.0000  0.0000  0.0000
As  0.3333  0.6667  0.7097
As  0.6667  0.3333  0.2903

***

Compound: UFe2Co
Source: the Alexandria database
Functional: PBE
Structure: optimized geometry

Values from the calculation:
V (Å³ per cell): 56
SG: No. 123
Formation enthalpy at 0 K (meV/atom): 66

Lattice parameters (Å, degrees): 2.8522 2.8522 6.8483 90.00 90.00 90.00
Positions (direct):
U  0.0000  0.0000  0.0000
Fe  0.5000  0.5000  0.2964
Fe  0.5000  0.5000  0.7036
Co  0.0000  0.0000  0.5000

***

Compound: Ba6Hg2N
Source: the Alexandria database
Functional: PBE
Structure: optimized geometry

Values from the calculation:
V (Å³ per cell): 843
SG: No. 136
Raw formation energy (kcal/mol of atoms): -6.6
Relative energy among the computed polymorphs (meV/atom): 74.6

Lattice parameters (Å, degrees): 7.7334 7.7334 14.1019 90.00 90.00 90.00
Positions (direct):
Ba  0.1850  0.1850  0.1455
Ba  0.1850  0.1850  0.8545
Ba  0.2456  0.2456  0.5000
Ba  0.2544  0.7456  0.0000
Ba  0.3150  0.6850  0.3545
Ba  0.3150  0.6850  0.6455
Ba  0.6850  0.3150  0.3545
Ba  0.6850  0.3150  0.6455
Ba  0.7456  0.2544  0.0000
Ba  0.7544  0.7544  0.5000
Ba  0.8150  0.8150  0.1455
Ba  0.8150  0.8150  0.8545
Hg  0.0000  0.0000  0.3454
Hg  0.0000  0.0000  0.6546
Hg  0.5000  0.5000  0.1546
Hg  0.5000  0.5000  0.8454
N  0.0000  0.0000  0.0000
N  0.5000  0.5000  0.5000

***

Look up the V of the third one. 56 Å³ per cell

***

Which of these has the highest V? Ba6Hg2N

***

Number 3 is which compound? UFe2Co

***

What is the formula in the first record? Tb5Ce2Dy12